Entry 1:
Density functional theory data (PBE) for crystalline CrHgMo3 at its relaxed geometry.

Cell and atoms, written as CIF:
```
data_CrHgMo3
_cell_length_a 4.513
_cell_length_b 4.513
_cell_length_c 4.513
_cell_angle_alpha 90.00
_cell_angle_beta 90.00
_cell_angle_gamma 90.00
_symmetry_space_group_name_H-M 'P m -3 m'
_symmetry_Int_Tables_number 221
_symmetry_space_group_name_Hall '-P 4 2 3'
loop_
_atom_site_label
_atom_site_fract_x
_atom_site_fract_y
_atom_site_fract_z
_atom_site_occupancy
Cr1 0.000 0.000 0.000 1
Hg1 0.500 0.500 0.500 1
Mo1 0.000 0.000 0.500 1
```

Crystal system: cubic
E, eV per cell: -36.605
Spin magnetization, μB per cell: 0.00
Energy relative to the elements, eV/f.u.: 5.81


Entry 2:
Density functional theory data (PBE) for crystalline CrHgMo at its relaxed geometry.

Cell and atoms, written as CIF:
```
data_CrHgMo
_cell_length_a 3.122
_cell_length_b 4.748
_cell_length_c 13.619
_cell_angle_alpha 90.00
_cell_angle_beta 90.00
_cell_angle_gamma 90.00
_symmetry_space_group_name_H-M 'F m m 2'
_symmetry_Int_Tables_number 42
_symmetry_space_group_name_Hall 'F 2 -2'
loop_
_atom_site_label
_atom_site_fract_x
_atom_site_fract_y
_atom_site_fract_z
_atom_site_occupancy
Cr1 0.000 0.000 0.000 1
Hg1 0.000 0.000 0.322 1
Mo1 0.000 0.000 0.632 1
```

Crystal system: orthorhombic
E, eV per cell: -76.851
Spin magnetization, μB per cell: 0.00
Energy relative to the elements, eV/f.u.: 1.54


Entry 3:
Density functional theory data (PBE) for crystalline CrHg2Mo at its relaxed geometry.

Cell and atoms, written as CIF:
```
data_CrHg2Mo
_cell_length_a 3.0644
_cell_length_b 3.0644
_cell_length_c 28.0508
_cell_angle_alpha 90.00
_cell_angle_beta 90.00
_cell_angle_gamma 120.00
_symmetry_space_group_name_H-M 'R 3 m'
_symmetry_Int_Tables_number 160
_symmetry_space_group_name_Hall 'R 3 -2"'
loop_
_atom_site_label
_atom_site_fract_x
_atom_site_fract_y
_atom_site_fract_z
_atom_site_occupancy
Cr1 0.0000 0.0000 0.0000 1
Hg1 0.0000 0.0000 0.2492 1
Hg2 0.0000 0.0000 0.4801 1
Mo1 0.0000 0.0000 0.7225 1
```

Crystal system: trigonal
E, eV per cell: -58.209
Spin magnetization, μB per cell: 0.21
Energy relative to the elements, eV/f.u.: 1.66


Entry 4:
Density functional theory data (PBE) for crystalline CrHgMo at its relaxed geometry.

Cell and atoms, written as CIF:
```
data_CrHgMo
_cell_length_a 3.188
_cell_length_b 3.188
_cell_length_c 9.738
_cell_angle_alpha 90.00
_cell_angle_beta 90.00
_cell_angle_gamma 90.00
_symmetry_space_group_name_H-M 'I 4 m m'
_symmetry_Int_Tables_number 107
_symmetry_space_group_name_Hall 'I 4 -2'
loop_
_atom_site_label
_atom_site_fract_x
_atom_site_fract_y
_atom_site_fract_z
_atom_site_occupancy
Cr1 0.000 0.000 0.000 1
Hg1 0.000 0.000 0.686 1
Mo1 0.000 0.000 0.385 1
```

Crystal system: tetragonal
E, eV per cell: -38.836
Spin magnetization, μB per cell: 0.44
Energy relative to the elements, eV/f.u.: 1.34


Entry 5:
Density functional theory data (PBE) for crystalline Cr2HgMo at its relaxed geometry.

Cell and atoms, written as CIF:
```
data_Cr2HgMo
_cell_length_a 2.857
_cell_length_b 3.817
_cell_length_c 5.708
_cell_angle_alpha 90.00
_cell_angle_beta 97.05
_cell_angle_gamma 90.00
_symmetry_space_group_name_H-M 'P 1 m 1'
_symmetry_Int_Tables_number 6
loop_
_symmetry_equiv_pos_as_xyz
'x,y,z'
'x,-y,z'
loop_
_atom_site_label
_atom_site_fract_x
_atom_site_fract_y
_atom_site_fract_z
_atom_site_occupancy
Cr1 0.000 0.000 0.000 1
Cr2 0.388 0.500 0.179 1
Hg1 0.973 0.000 0.479 1
Mo1 0.558 0.500 0.795 1
```

Crystal system: monoclinic
E, eV per cell: -28.503
Spin magnetization, μB per cell: 0.02
Energy relative to the elements, eV/f.u.: 1.88


Entry 6:
Density functional theory data (PBE) for crystalline CrHg2Mo at its relaxed geometry.

Cell and atoms, written as CIF:
```
data_CrHg2Mo
_cell_length_a 4.913
_cell_length_b 4.913
_cell_length_c 3.068
_cell_angle_alpha 90.00
_cell_angle_beta 90.00
_cell_angle_gamma 90.00
_symmetry_space_group_name_H-M 'P 4/m m m'
_symmetry_Int_Tables_number 123
_symmetry_space_group_name_Hall '-P 4 2'
loop_
_atom_site_label
_atom_site_fract_x
_atom_site_fract_y
_atom_site_fract_z
_atom_site_occupancy
Cr1 0.000 0.000 0.000 1
Hg1 0.000 0.500 0.500 1
Mo1 0.500 0.500 0.000 1
```

Crystal system: tetragonal
E, eV per cell: -18.335
Spin magnetization, μB per cell: 3.87
Energy relative to the elements, eV/f.u.: 2.72


Entry 7:
Density functional theory data (PBE) for crystalline Cr2HgMo at its relaxed geometry.

Cell and atoms, written as CIF:
```
data_Cr2HgMo
_cell_length_a 6.320
_cell_length_b 6.320
_cell_length_c 6.320
_cell_angle_alpha 90.00
_cell_angle_beta 90.00
_cell_angle_gamma 90.00
_symmetry_space_group_name_H-M 'F -4 3 m'
_symmetry_Int_Tables_number 216
_symmetry_space_group_name_Hall 'F -4 2 3'
loop_
_atom_site_label
_atom_site_fract_x
_atom_site_fract_y
_atom_site_fract_z
_atom_site_occupancy
Cr1 0.000 0.000 0.000 1
Cr2 0.250 0.250 0.250 1
Hg1 0.000 0.000 0.500 1
Mo1 0.250 0.250 0.750 1
```

Crystal system: cubic
E, eV per cell: -110.880
Spin magnetization, μB per cell: 7.91
Energy relative to the elements, eV/f.u.: 2.66


Entry 8:
Density functional theory data (PBE) for crystalline Cr2HgMo at its relaxed geometry.

Cell and atoms, written as CIF:
```
data_Cr2HgMo
_cell_length_a 4.294
_cell_length_b 4.294
_cell_length_c 3.400
_cell_angle_alpha 90.00
_cell_angle_beta 90.00
_cell_angle_gamma 90.00
_symmetry_space_group_name_H-M 'P 4/m m m'
_symmetry_Int_Tables_number 123
_symmetry_space_group_name_Hall '-P 4 2'
loop_
_atom_site_label
_atom_site_fract_x
_atom_site_fract_y
_atom_site_fract_z
_atom_site_occupancy
Cr1 0.000 0.500 0.000 1
Hg1 0.000 0.000 0.500 1
Mo1 0.500 0.500 0.500 1
```

Crystal system: tetragonal
E, eV per cell: -28.359
Spin magnetization, μB per cell: 3.95
Energy relative to the elements, eV/f.u.: 2.02